Run 1
Below is an optimized crystal structure of MgPd2Au6, with properties calculated at the GGA-PBE level.

Geometry as POSCAR:
```
MgPd2Au6
1.0
5.2035 -4.9805 0.0000
5.2035 4.9805 0.0000
-4.4359 0.0000 6.1020
Mg Pd Au
2 4 12
Direct
0.1509 0.8491 0.7500
0.8491 0.1509 0.2500
0.2054 0.4433 0.5771
0.4433 0.2054 0.0771
0.5567 0.7946 0.9229
0.7946 0.5567 0.4229
0.0010 0.7825 0.3105
0.0904 0.3594 0.1439
0.2175 0.9990 0.1895
0.3237 0.5725 0.0236
0.3594 0.0904 0.6439
0.4275 0.6763 0.4764
0.5725 0.3237 0.5236
0.6406 0.9096 0.3561
0.6763 0.4275 0.9764
0.7825 0.0010 0.8105
0.9096 0.6406 0.8561
0.9990 0.2175 0.6895
```

The space-group type is No. 15. The value obtained for the total moment is 0.000 μB/atom. As for the density of states at the Fermi level: 2.7 states/eV/f.u.

Run 2
Below is an optimized crystal structure of MgPd2Au6, with properties calculated at the GGA-PBE level.

Geometry as POSCAR:
```
MgPd2Au6
1.0
6.5951 0.0000 0.0000
0.0000 7.1583 0.0000
-6.3821 0.0000 7.0361
Mg Pd Au
2 4 12
Direct
0.0000 0.0000 0.0000
0.0000 0.5000 0.5000
0.1049 0.1395 0.4651
0.1049 0.3605 0.9651
0.8951 0.6395 0.0349
0.8951 0.8605 0.5349
0.2639 0.1015 0.8420
0.2639 0.3985 0.3420
0.3017 0.6395 0.8656
0.3017 0.8605 0.3656
0.4789 0.6338 0.2317
0.4789 0.8662 0.7317
0.5211 0.1338 0.2683
0.5211 0.3662 0.7683
0.6983 0.1395 0.6344
0.6983 0.3605 0.1344
0.7361 0.6015 0.6580
0.7361 0.8985 0.1580
```

The space-group type is No. 14. The value obtained for the total moment is 0.000 μB/atom. As for the density of states at the Fermi level: 4.0 states/eV/f.u.

The most stable of them is run 1.

Run 1
Below is an optimized crystal structure of Mg4Pd2Au, with properties calculated at the GGA-PBE level.

Geometry as POSCAR:
```
Mg4Pd2Au
1.0
-4.0143 4.0143 4.0130
4.0143 -4.0143 4.0130
4.0143 4.0143 -4.0130
Mg Pd Au
8 4 2
Direct
0.1199 0.5281 0.7493
0.1206 0.0288 0.7507
0.2781 0.3699 0.2493
0.4719 0.2212 0.5918
0.6294 0.8801 0.4082
0.6301 0.8794 0.9082
0.7788 0.3706 0.2507
0.9712 0.7219 0.0918
0.9999 0.1250 0.3749
0.3750 0.0001 0.1251
0.7501 0.6250 0.6251
0.8750 0.2499 0.8749
0.2500 0.7500 0.5000
0.5000 0.5000 0.0000
```

The space-group type is No. 122. The value obtained for the total moment is 0.000 μB/atom. As for the density of states at the Fermi level: 1.6 states/eV/f.u.

Run 2
Below is an optimized crystal structure of Mg4Pd2Au, with properties calculated at the GGA-PBE level.

Geometry as POSCAR:
```
Mg4Pd2Au
1.0
2.2817 1.3173 7.1972
-2.2817 1.3173 7.1972
0.0000 -2.6347 7.1972
Mg Pd Au
4 2 1
Direct
0.1161 0.1161 0.1161
0.3701 0.3701 0.3701
0.6299 0.6299 0.6299
0.8839 0.8839 0.8839
0.2446 0.2446 0.2446
0.7554 0.7554 0.7554
0.5000 0.5000 0.5000
```

The space-group type is No. 166. The value obtained for the total moment is 0.000 μB/atom. As for the density of states at the Fermi level: 3.6 states/eV/f.u.

The most stable of them is run 2.

Run 1
Below is an optimized crystal structure of Mg2PdAu8, with properties calculated at the GGA-PBE level.

Geometry as POSCAR:
```
Mg2PdAu8
1.0
7.4282 -2.0538 0.0000
7.4282 2.0538 0.0000
-1.8748 0.0000 6.3434
Mg Pd Au
2 1 8
Direct
0.1339 0.1339 0.1796
0.8661 0.8661 0.8204
0.5000 0.5000 0.0000
0.0453 0.0453 0.7407
0.2299 0.2299 0.6372
0.3189 0.3189 0.0914
0.4114 0.4114 0.5536
0.5886 0.5886 0.4464
0.6811 0.6811 0.9086
0.7701 0.7701 0.3628
0.9547 0.9547 0.2593
```

The space-group type is No. 12. The value obtained for the total moment is 0.000 μB/atom. As for the density of states at the Fermi level: 2.6 states/eV/f.u.

Run 2
Below is an optimized crystal structure of Mg2PdAu8, with properties calculated at the GGA-PBE level.

Geometry as POSCAR:
```
Mg2PdAu8
1.0
3.9628 -6.4006 0.0000
3.9628 6.4006 0.0000
-3.2938 0.0000 4.0883
Mg Pd Au
2 1 8
Direct
0.1928 0.8072 0.0000
0.8072 0.1928 0.0000
0.5000 0.5000 0.5000
0.0965 0.0965 0.3268
0.1748 0.4045 0.9037
0.2802 0.7198 0.5000
0.4045 0.1748 0.9037
0.5955 0.8252 0.0963
0.7198 0.2802 0.5000
0.8252 0.5955 0.0963
0.9035 0.9035 0.6732
```

The space-group type is No. 12. The value obtained for the total moment is 0.000 μB/atom. As for the density of states at the Fermi level: 4.3 states/eV/f.u.

The most stable of them is run 1.

Run 1
Below is an optimized crystal structure of Mg2Pd3Au6, with properties calculated at the GGA-PBE level.

Geometry as POSCAR:
```
Mg2Pd3Au6
1.0
-1.9742 1.9742 13.4448
1.9742 -1.9742 13.4448
1.9742 1.9742 -13.4448
Mg Pd Au
2 3 6
Direct
0.1497 0.1497 0.0000
0.8503 0.8503 0.0000
0.3501 0.3501 0.0000
0.5000 0.5000 0.0000
0.6499 0.6499 0.0000
0.0722 0.5722 0.5000
0.2495 0.2495 0.0000
0.4278 0.9278 0.5000
0.5722 0.0722 0.5000
0.7505 0.7505 0.0000
0.9278 0.4278 0.5000
```

The space-group type is No. 139. The value obtained for the total moment is 0.000 μB/atom. As for the density of states at the Fermi level: 3.6 states/eV/f.u.

Run 2
Below is an optimized crystal structure of Mg2Pd3Au6, with properties calculated at the GGA-PBE level.

Geometry as POSCAR:
```
Mg2Pd3Au6
1.0
5.0149 0.0000 0.0000
-0.8101 6.3648 0.0000
-1.7245 -2.2904 5.8850
Mg Pd Au
2 3 6
Direct
0.2310 0.0558 0.3975
0.7690 0.9442 0.6025
0.4140 0.6892 0.1490
0.5000 0.5000 0.5000
0.5860 0.3108 0.8510
0.0451 0.3999 0.6779
0.1383 0.2342 0.0419
0.3182 0.8659 0.7696
0.6818 0.1341 0.2304
0.8617 0.7658 0.9581
0.9549 0.6001 0.3221
```

The space-group type is No. 2. The value obtained for the total moment is 0.000 μB/atom. As for the density of states at the Fermi level: 3.2 states/eV/f.u.

The most stable of them is run 2.

Run 1
Below is an optimized crystal structure of Mg6Pd2Au, with properties calculated at the GGA-PBE level.

Geometry as POSCAR:
```
Mg6Pd2Au
1.0
8.6496 0.0000 0.0000
0.0000 8.6496 0.0000
0.0000 0.0000 4.4271
Mg Pd Au
12 4 2
Direct
0.0249 0.3167 0.0000
0.1315 0.8685 0.5000
0.1833 0.5249 0.5000
0.3167 0.0249 0.0000
0.3685 0.3685 0.0000
0.4751 0.8167 0.5000
0.5249 0.1833 0.5000
0.6315 0.6315 0.0000
0.6833 0.9751 0.0000
0.8167 0.4751 0.5000
0.8685 0.1315 0.5000
0.9751 0.6833 0.0000
0.1983 0.1983 0.5000
0.3017 0.6983 0.0000
0.6983 0.3017 0.0000
0.8017 0.8017 0.5000
0.0000 0.0000 0.0000
0.5000 0.5000 0.5000
```

The space-group type is No. 136. The value obtained for the total moment is 0.000 μB/atom. As for the density of states at the Fermi level: 2.9 states/eV/f.u.

Run 2
Below is an optimized crystal structure of Mg6Pd2Au, with properties calculated at the GGA-PBE level.

Geometry as POSCAR:
```
Mg6Pd2Au
1.0
4.6653 0.0000 0.0000
-2.3326 4.0402 0.0000
0.0000 0.0000 8.7645
Mg Pd Au
6 2 1
Direct
0.0000 0.0000 0.1953
0.0000 0.0000 0.8047
0.3333 0.6667 0.0629
0.3333 0.6667 0.4075
0.6667 0.3333 0.5925
0.6667 0.3333 0.9371
0.3333 0.6667 0.7517
0.6667 0.3333 0.2483
0.0000 0.0000 0.5000
```

The space-group type is No. 164. The value obtained for the total moment is 0.000 μB/atom. As for the density of states at the Fermi level: 3.8 states/eV/f.u.

The most stable of them is run 1.

Run 1
Below is an optimized crystal structure of Mg2PdAu3, with properties calculated at the GGA-PBE level.

Geometry as POSCAR:
```
Mg2PdAu3
1.0
-2.8460 6.8583 2.8553
2.8460 -6.8583 2.8553
2.8460 6.8583 -2.8553
Mg Pd Au
4 2 6
Direct
0.1512 0.2440 0.3951
0.3488 0.7440 0.0928
0.6512 0.2560 0.9072
0.8488 0.7560 0.6049
0.2500 0.2500 0.0000
0.7500 0.7500 0.0000
0.1530 0.7557 0.9088
0.2500 0.7500 0.5000
0.3470 0.2557 0.6027
0.6530 0.7443 0.3973
0.7500 0.2500 0.5000
0.8470 0.2443 0.0912
```

The space-group type is No. 72. The value obtained for the total moment is 0.000 μB/atom. As for the density of states at the Fermi level: 1.9 states/eV/f.u.

Run 2
Below is an optimized crystal structure of Mg2PdAu3, with properties calculated at the GGA-PBE level.

Geometry as POSCAR:
```
Mg2PdAu3
1.0
3.6558 -4.0280 0.0000
3.6558 4.0280 0.0000
-1.4585 0.0000 7.3782
Mg Pd Au
4 2 6
Direct
0.1069 0.6314 0.8713
0.3686 0.8931 0.6287
0.6314 0.1069 0.3713
0.8931 0.3686 0.1287
0.1136 0.8864 0.2500
0.8864 0.1136 0.7500
0.1474 0.3108 0.4855
0.3108 0.1474 0.9855
0.4483 0.5517 0.2500
0.5517 0.4483 0.7500
0.6892 0.8526 0.0145
0.8526 0.6892 0.5145
```

The space-group type is No. 15. The value obtained for the total moment is 0.000 μB/atom. As for the density of states at the Fermi level: 1.9 states/eV/f.u.

The most stable of them is run 1.